(1)
Density functional theory data (PBE) for a relaxed structure of ZnGeBr2.

Lattice parameters (Å, degrees): 5.1395 5.1395 5.1395 60.00 60.00 60.00
With the nearest neighbours (Å) after each atom.
Sites, in units of the cell vectors:
Zn 0.0000 0.0000 0.0000  8 Br 3.15
Ge 0.5000 0.5000 0.5000  8 Br 3.15
Br 0.2500 0.2500 0.2500  4 Ge 3.15, 4 Zn 3.15
Br 0.7500 0.7500 0.7500  4 Ge 3.15, 4 Zn 3.15

Values from the calculation:
Size of the total moment, μB/cell: 0.00
Total DFT energy (no corrections), eV/f.u.: -8.9
ρ, g/cm³: 5.2
Offset from the most stable computed form, eV/f.u.: 1.27
ΔE_f (raw), meV/atom: 93
Calculated volume, Å³/cell: 96.0

---

(2)
Density functional theory data (PBE) for a relaxed structure of ZnGe2Br.

Lattice parameters (Å, degrees): 4.9099 4.9099 4.9099 60.00 60.00 60.00
With the nearest neighbours (Å) after each atom.
Sites, in units of the cell vectors:
Zn 0.0000 0.0000 0.0000  8 Ge 3.01
Ge 0.2500 0.2500 0.2500  4 Br 3.01, 4 Zn 3.01
Ge 0.7500 0.7500 0.7500  4 Br 3.01, 4 Zn 3.01
Br 0.5000 0.5000 0.5000  8 Ge 3.01

Values from the calculation:
Size of the total moment, μB/cell: 0.00
Total DFT energy (no corrections), eV/f.u.: -10.4
ρ, g/cm³: 5.8
Offset from the most stable computed form, eV/f.u.: 0.32
ΔE_f (raw), meV/atom: 439
Calculated volume, Å³/cell: 83.7

---

(3)
Density functional theory data (PBE) for a relaxed structure of ZnGeBr2.

Lattice parameters (Å, degrees): 9.2786 9.2786 9.2786 22.66 22.66 22.66
With the nearest neighbours (Å) after each atom.
Sites, in units of the cell vectors:
Zn 0.0000 0.0000 0.0000  6 Br 2.66
Ge 0.5000 0.5000 0.5000  2 Br 2.89
Br 0.3934 0.3934 0.3934  3 Zn 2.66, 1 Ge 2.89
Br 0.6066 0.6066 0.6066  3 Zn 2.66, 1 Ge 2.89

Values from the calculation:
Size of the total moment, μB/cell: 0.00
Total DFT energy (no corrections), eV/f.u.: -9.7
ρ, g/cm³: 4.8
Offset from the most stable computed form, eV/f.u.: 0.41
ΔE_f (raw), meV/atom: -121
Calculated volume, Å³/cell: 104.0

---

(4)
Density functional theory data (PBE) for a relaxed structure of ZrGeBr3.

Lattice parameters (Å, degrees): 5.3742 5.3742 5.3742 90.00 90.00 90.00
With the nearest neighbours (Å) after each atom.
Sites, in units of the cell vectors:
Zr 0.0000 0.0000 0.0000  6 Br 2.69
Ge 0.5000 0.5000 0.5000  12 Br 3.80
Br 0.0000 0.0000 0.5000  2 Zr 2.69
Br 0.0000 0.5000 0.0000  2 Zr 2.69
Br 0.5000 0.0000 0.0000  2 Zr 2.69

Values from the calculation:
Size of the total moment, μB/cell: 2.68
Total DFT energy (no corrections), eV/f.u.: -19.4
ρ, g/cm³: 4.3
Offset from the most stable computed form, eV/f.u.: 0.00
ΔE_f (raw), meV/atom: -249
Calculated volume, Å³/cell: 155.2

---

(5)
Density functional theory data (PBE) for a relaxed structure of ZrGe2Br.

Lattice parameters (Å, degrees): 11.0306 11.0306 11.0306 158.96 158.96 29.93
With the nearest neighbours (Å) after each atom.
Sites, in units of the cell vectors:
Zr 0.0000 0.0000 0.0000  4 Br 2.85, 4 Ge 2.96
Zr 0.7500 0.2500 0.5000  4 Br 2.85, 4 Ge 2.96
Ge 0.0778 0.6250 0.9528  2 Ge 2.59
Ge 0.3750 0.3278 0.4528  2 Ge 2.59
Ge 0.6722 0.1250 0.0472  2 Ge 2.59
Ge 0.8750 0.9222 0.5472  2 Ge 2.59
Br 0.2500 0.7500 0.5000  4 Zr 2.85, 4 Ge 3.09
Br 0.5000 0.5000 0.0000  4 Zr 2.85, 4 Ge 3.09

Values from the calculation:
Size of the total moment, μB/cell: 0.07
Total DFT energy (no corrections), eV/f.u.: -19.2
ρ, g/cm³: 6.1
Offset from the most stable computed form, eV/f.u.: 0.00
ΔE_f (raw), meV/atom: 64
Calculated volume, Å³/cell: 172.9

---

(6)
Density functional theory data (PBE) for a relaxed structure of ZrGeBr6.

Lattice parameters (Å, degrees): 7.4010 7.4010 6.7809 98.09 98.09 125.42
With the nearest neighbours (Å) after each atom.
Sites, in units of the cell vectors:
Zr 0.0000 0.0000 0.0000  6 Br 2.63-2.67
Ge 0.5000 0.5000 0.5000  6 Br 2.79-2.85
Br 0.0972 0.3800 0.2396  1 Zr 2.67, 1 Ge 2.79
Br 0.2408 0.2408 0.7604  1 Zr 2.63, 1 Ge 2.85
Br 0.3800 0.0972 0.2396  1 Zr 2.67, 1 Ge 2.79
Br 0.6200 0.9028 0.7604  1 Zr 2.67, 1 Ge 2.79
Br 0.7592 0.7592 0.2396  1 Zr 2.63, 1 Ge 2.85
Br 0.9028 0.6200 0.7604  1 Zr 2.67, 1 Ge 2.79

Values from the calculation:
Size of the total moment, μB/cell: 0.00
Total DFT energy (no corrections), eV/f.u.: -31.5
ρ, g/cm³: 3.7
ΔE_f (raw), meV/atom: -1038
Calculated volume, Å³/cell: 288.0

---

(7)
Density functional theory data (PBE) for a relaxed structure of ZrGeBr2.

Lattice parameters (Å, degrees): 10.0718 10.0718 10.0718 19.45 19.45 19.45
With the nearest neighbours (Å) after each atom.
Sites, in units of the cell vectors:
Zr 0.0000 0.0000 0.0000  6 Br 2.78
Ge 0.5000 0.5000 0.5000  2 Br 2.97
Br 0.3998 0.3998 0.3998  3 Zr 2.78, 1 Ge 2.97
Br 0.6002 0.6002 0.6002  3 Zr 2.78, 1 Ge 2.97

Values from the calculation:
Size of the total moment, μB/cell: 0.00
Total DFT energy (no corrections), eV/f.u.: -18.5
ρ, g/cm³: 5.4
Offset from the most stable computed form, eV/f.u.: 0.00
ΔE_f (raw), meV/atom: -509
Calculated volume, Å³/cell: 99.1

---

(8)
Density functional theory data (PBE) for a relaxed structure of Zr2Ge2Br.

Lattice parameters (Å, degrees): 7.5952 7.5952 3.5865 90.00 90.00 90.00
With the nearest neighbours (Å) after each atom.
Sites, in units of the cell vectors:
Zr 0.1711 0.3289 0.0000  2 Br 2.82, 6 Ge 2.86-2.88
Zr 0.3289 0.8289 0.0000  2 Br 2.82, 6 Ge 2.86-2.88
Zr 0.6711 0.1711 0.0000  2 Br 2.82, 6 Ge 2.86-2.88
Zr 0.8289 0.6711 0.0000  2 Br 2.82, 6 Ge 2.86-2.88
Ge 0.1214 0.6214 0.5000  1 Ge 2.61, 6 Zr 2.86-2.88
Ge 0.3786 0.1214 0.5000  1 Ge 2.61, 6 Zr 2.86-2.88
Ge 0.6214 0.8786 0.5000  1 Ge 2.61, 6 Zr 2.86-2.88
Ge 0.8786 0.3786 0.5000  1 Ge 2.61, 6 Zr 2.86-2.88
Br 0.0000 0.0000 0.0000  4 Zr 2.82
Br 0.5000 0.5000 0.0000  4 Zr 2.82

Values from the calculation:
Size of the total moment, μB/cell: 0.00
Total DFT energy (no corrections), eV/f.u.: -31.0
ρ, g/cm³: 6.5
Offset from the most stable computed form, eV/f.u.: 0.00
ΔE_f (raw), meV/atom: -600
Calculated volume, Å³/cell: 206.9

---

(9)
Density functional theory data (PBE) for a relaxed structure of ZrGe2Br.

Lattice parameters (Å, degrees): 4.9487 4.9487 4.9487 60.00 60.00 60.00
With the nearest neighbours (Å) after each atom.
Sites, in units of the cell vectors:
Zr 0.0000 0.0000 0.0000  8 Ge 3.03
Ge 0.2500 0.2500 0.2500  4 Zr 3.03, 4 Br 3.03
Ge 0.7500 0.7500 0.7500  4 Br 3.03, 4 Zr 3.03
Br 0.5000 0.5000 0.5000  8 Ge 3.03

Values from the calculation:
Size of the total moment, μB/cell: 0.00
Total DFT energy (no corrections), eV/f.u.: -18.0
ρ, g/cm³: 6.1
Offset from the most stable computed form, eV/f.u.: 1.19
ΔE_f (raw), meV/atom: 361
Calculated volume, Å³/cell: 85.7

---

(10)
Density functional theory data (PBE) for a relaxed structure of Zr3GeBr.

Lattice parameters (Å, degrees): 5.1234 5.1234 5.1234 90.00 90.00 90.00
With the nearest neighbours (Å) after each atom.
Sites, in units of the cell vectors:
Zr 0.0000 0.0000 0.5000  2 Ge 2.56
Zr 0.0000 0.5000 0.0000  2 Ge 2.56
Zr 0.5000 0.0000 0.0000  2 Ge 2.56
Ge 0.0000 0.0000 0.0000  6 Zr 2.56
Br 0.5000 0.5000 0.5000  12 Zr 3.62

Values from the calculation:
Size of the total moment, μB/cell: 0.00
Total DFT energy (no corrections), eV/f.u.: -29.6
ρ, g/cm³: 5.3
Offset from the most stable computed form, eV/f.u.: 0.00
ΔE_f (raw), meV/atom: 458
Calculated volume, Å³/cell: 134.5

---

(11)
Density functional theory data (PBE) for a relaxed structure of Zr2GeBr.

Lattice parameters (Å, degrees): 7.5612 7.5612 7.5612 133.01 133.01 68.64
With the nearest neighbours (Å) after each atom.
Sites, in units of the cell vectors:
Zr 0.1070 0.6250 0.9820  2 Ge 2.58, 2 Br 2.71
Zr 0.3750 0.3570 0.4820  2 Ge 2.58, 2 Br 2.71
Zr 0.6430 0.1250 0.0180  2 Ge 2.58, 2 Br 2.71
Zr 0.8750 0.8930 0.5180  2 Ge 2.58, 2 Br 2.71
Ge 0.0000 0.0000 0.0000  4 Zr 2.58
Ge 0.7500 0.2500 0.5000  4 Zr 2.58
Br 0.2500 0.7500 0.5000  4 Zr 2.71
Br 0.5000 0.5000 0.0000  4 Zr 2.71

Values from the calculation:
Size of the total moment, μB/cell: 0.00
Total DFT energy (no corrections), eV/f.u.: -23.0
ρ, g/cm³: 4.9
Offset from the most stable computed form, eV/f.u.: 2.25
ΔE_f (raw), meV/atom: 108
Calculated volume, Å³/cell: 227.0

---

(12)
Density functional theory data (PBE) for a relaxed structure of ZrGeBr3.

Lattice parameters (Å, degrees): 5.3670 5.3670 5.3670 90.00 90.00 90.00
With the nearest neighbours (Å) after each atom.
Sites, in units of the cell vectors:
Zr 0.0000 0.0000 0.0000  12 Br 3.80
Ge 0.5000 0.5000 0.5000  6 Br 2.68
Br 0.0000 0.5000 0.5000  2 Ge 2.68
Br 0.5000 0.0000 0.5000  2 Ge 2.68
Br 0.5000 0.5000 0.0000  2 Ge 2.68

Values from the calculation:
Size of the total moment, μB/cell: 0.25
Total DFT energy (no corrections), eV/f.u.: -16.2
ρ, g/cm³: 4.3
Offset from the most stable computed form, eV/f.u.: 3.22
ΔE_f (raw), meV/atom: 394
Calculated volume, Å³/cell: 154.6